Material: LaMgCrMoO6
Method: DFT, PBE+U
State: optimized geometry

a = 5.4206 Å, b = 5.5619 Å, c = 9.5973 Å
α = 90.00°, β = 124.25°, γ = 90.00°
Space group Pc (No. 7)
One atom of each set of equivalent atoms:
La 0.0000 0.2124 0.0000
Mg 0.5336 0.2942 0.5272
Cr 0.2512 0.2420 0.7476
Mo 0.7543 0.2615 0.2505
O 0.1325 0.2095 0.5014
O 0.4101 0.3187 0.9904
O 0.5047 0.0763 0.3180
O 0.5936 0.4269 0.7800
O 0.8832 0.0472 0.6936
O 0.9681 0.4825 0.1790

density	5654	kg/m3
E	-149.20	eV for the cell shown
crystal system	monoclinic
size of the total moment	10.0	μB/cell